No. 1
Here is a relaxed structure of LaDy2Mg3Pt2Au from OQMD via LeMat-Bulk. Energies are from PBE-GGA.

## Properties
Total DFT energy (no corrections) in eV/atom: -4.65
Size of the total moment in μB/cell: 0.1

a b c (Å): 4.075 13.033 7.559
angles (deg): 90.00 90.00 90.00
Space group Amm2 (No. 38)
One atom of each set of equivalent atoms:
La (0.000, 0.000, 0.000)
Dy (0.000, 0.207, 0.629)
Mg (0.500, 0.000, 0.665)
Mg (0.500, 0.127, 0.300)
Pt (0.500, 0.170, 0.920)
Au (0.000, 0.000, 0.428)

No. 2
Here is a relaxed structure of LaDy2Si4Ni2Au2 from OQMD via LeMat-Bulk. Energies are from PBE-GGA.

## Properties
Total DFT energy (no corrections) in eV/atom: -5.67
Size of the total moment in μB/cell: 0.0

a b c (Å): 4.095 4.192 24.127
angles (deg): 90.00 90.00 90.00
Space group Immm (No. 71)
One atom of each set of equivalent atoms:
La (0.000, 0.000, 0.000)
Dy (0.000, 0.500, 0.156)
Si (0.000, 0.000, 0.450)
Si (0.000, 0.500, 0.295)
Ni (0.000, 0.000, 0.250)
Au (0.000, 0.500, 0.397)

No. 3
Here is a relaxed structure of LaDy2Si4Au4 from OQMD via LeMat-Bulk. Energies are from PBE-GGA.

## Properties
Total DFT energy (no corrections) in eV/atom: -5.16
Size of the total moment in μB/cell: 0.0

a b c (Å): 4.213 4.267 25.151
angles (deg): 90.00 90.00 90.00
Space group Immm (No. 71)
One atom of each set of equivalent atoms:
La (0.000, 0.000, 0.000)
Dy (0.000, 0.500, 0.148)
Si (0.000, 0.000, 0.452)
Si (0.000, 0.500, 0.309)
Au (0.000, 0.000, 0.252)
Au (0.000, 0.500, 0.404)

No. 4
Here is a relaxed structure of La2DySi4Au4 from OQMD via LeMat-Bulk. Energies are from PBE-GGA.

## Properties
Total DFT energy (no corrections) in eV/atom: -5.23
Size of the total moment in μB/cell: 0.0

a b c (Å): 4.265 4.326 25.242
angles (deg): 90.00 90.00 90.00
Space group Immm (No. 71)
One atom of each set of equivalent atoms:
La (0.000, 0.000, 0.147)
Dy (0.000, 0.500, 0.000)
Si (0.000, 0.000, 0.309)
Si (0.000, 0.500, 0.454)
Au (0.000, 0.000, 0.408)
Au (0.000, 0.500, 0.250)

No. 5
Here is a relaxed structure of LaDy2Zn2Si4Au2 from OQMD via LeMat-Bulk. Energies are from PBE-GGA.

## Properties
Total DFT energy (no corrections) in eV/atom: -4.72
Size of the total moment in μB/cell: 0.0

a b c (Å): 4.122 4.234 25.231
angles (deg): 90.00 90.00 90.00
Space group Immm (No. 71)
One atom of each set of equivalent atoms:
La (0.000, 0.000, 0.000)
Dy (0.000, 0.500, 0.146)
Zn (0.000, 0.000, 0.251)
Si (0.000, 0.000, 0.452)
Si (0.000, 0.500, 0.307)
Au (0.000, 0.500, 0.402)

No. 6
Here is a relaxed structure of La2DyZn2Si4Au2 from OQMD via LeMat-Bulk. Energies are from PBE-GGA.

## Properties
Total DFT energy (no corrections) in eV/atom: -4.80
Size of the total moment in μB/cell: 0.0

a b c (Å): 4.194 4.304 25.083
angles (deg): 90.00 90.00 90.00
Space group Immm (No. 71)
One atom of each set of equivalent atoms:
La (0.000, 0.000, 0.147)
Dy (0.000, 0.500, 0.000)
Zn (0.000, 0.500, 0.250)
Si (0.000, 0.000, 0.307)
Si (0.000, 0.500, 0.454)
Au (0.000, 0.000, 0.407)

No. 7
Here is a relaxed structure of La2DyZn2Si4Au2 from OQMD via LeMat-Bulk. Energies are from PBE-GGA.

## Properties
Total DFT energy (no corrections) in eV/atom: -4.74
Size of the total moment in μB/cell: 0.0

a b c (Å): 4.262 4.273 24.855
angles (deg): 90.00 90.00 90.00
Space group Immm (No. 71)
One atom of each set of equivalent atoms:
La (0.000, 0.000, 0.145)
Dy (0.000, 0.500, 0.500)
Zn (0.000, 0.000, 0.407)
Si (0.000, 0.000, 0.310)
Si (0.000, 0.500, 0.047)
Au (0.000, 0.500, 0.249)

No. 8
Here is a relaxed structure of LaDy2Zn2Si4Au2 from OQMD via LeMat-Bulk. Energies are from PBE-GGA.

## Properties
Total DFT energy (no corrections) in eV/atom: -4.68
Size of the total moment in μB/cell: 0.0

a b c (Å): 4.210 4.215 24.668
angles (deg): 90.00 90.00 90.00
Space group Immm (No. 71)
One atom of each set of equivalent atoms:
La (0.000, 0.000, 0.000)
Dy (0.000, 0.500, 0.354)
Zn (0.000, 0.500, 0.096)
Si (0.000, 0.000, 0.451)
Si (0.000, 0.500, 0.190)
Au (0.000, 0.000, 0.252)

No. 9
Here is a relaxed structure of LiDy2AuSe2O2 from OQMD via LeMat-Bulk. Energies are from PBE-GGA.

## Properties
Total DFT energy (no corrections) in eV/atom: -6.04
Size of the total moment in μB/cell: 0.0

a b c (Å): 3.931 3.931 9.050
angles (deg): 90.00 90.00 90.00
Space group P-4m2 (No. 115)
One atom of each set of equivalent atoms:
Li (0.000, 0.000, 0.000)
Dy (0.000, 0.500, 0.378)
Au (0.500, 0.500, 0.000)
Se (0.000, 0.500, 0.800)
O (0.000, 0.000, 0.500)
O (0.500, 0.500, 0.500)

No. 10
Here is a relaxed structure of DyLuAu from OQMD via LeMat-Bulk. Energies are from PBE-GGA.

## Properties
Total DFT energy (no corrections) in eV/atom: -4.60
Size of the total moment in μB/cell: 0.2
Formation energy from the elements in kJ/mol of formula units: -137

a b c (Å): 6.908 6.908 6.908
angles (deg): 90.00 90.00 90.00
Space group F-43m (No. 216)
One atom of each set of equivalent atoms:
Dy (0.000, 0.000, 0.000)
Lu (0.000, 0.000, 0.500)
Au (0.250, 0.250, 0.250)

No. 11
Here is a relaxed structure of DyLuMg2Au4 from OQMD via LeMat-Bulk. Energies are from PBE-GGA.

## Properties
Total DFT energy (no corrections) in eV/atom: -3.95
Size of the total moment in μB/cell: 0.0

a b c (Å): 4.843 4.843 6.850
angles (deg): 90.00 90.00 90.00
Space group P4/mmm (No. 123)
One atom of each set of equivalent atoms:
Dy (0.000, 0.000, 0.000)
Lu (0.500, 0.500, 0.500)
Mg (0.000, 0.000, 0.500)
Mg (0.500, 0.500, 0.000)
Au (0.000, 0.500, 0.255)

No. 12
Here is a relaxed structure of DyMgAu from OQMD via LeMat-Bulk. Energies are from PBE-GGA.

## Properties
Total DFT energy (no corrections) in eV/atom: -3.83
Size of the total moment in μB/cell: 0.0

a b c (Å): 7.6699 7.6699 3.9937
angles (deg): 90.00 90.00 120.00
Space group P-62m (No. 189)
One atom of each set of equivalent atoms:
Dy (0.0000, 0.4100, 0.0000)
Mg (0.0000, 0.7508, 0.5000)
Au (0.0000, 0.0000, 0.0000)
Au (0.3333, 0.6667, 0.5000)

No. 13
Here is a relaxed structure of DyMgAu2 from OQMD via LeMat-Bulk. Energies are from PBE-GGA.

## Properties
Total DFT energy (no corrections) in eV/atom: -3.95
Size of the total moment in μB/cell: 0.0

a b c (Å): 6.898 6.898 6.898
angles (deg): 90.00 90.00 90.00
Space group Fm-3m (No. 225)
One atom of each set of equivalent atoms:
Dy (0.000, 0.000, 0.000)
Mg (0.000, 0.000, 0.500)
Au (0.250, 0.250, 0.250)

No. 14
Here is a relaxed structure of DyMgAu from OQMD via LeMat-Bulk. Energies are from PBE-GGA.

## Properties
Total DFT energy (no corrections) in eV/atom: -3.53
Size of the total moment in μB/cell: 0.0

a b c (Å): 3.979 3.979 19.154
angles (deg): 90.00 90.00 90.00
Space group I4/mmm (No. 139)
One atom of each set of equivalent atoms:
Dy (0.000, 0.000, 0.105)
Mg (0.000, 0.000, 0.286)
Au (0.000, 0.000, 0.431)

No. 15
Here is a relaxed structure of Nd2DyMg3Pt2Au from OQMD via LeMat-Bulk. Energies are from PBE-GGA.

## Properties
Total DFT energy (no corrections) in eV/atom: -4.63
Size of the total moment in μB/cell: 0.0

a b c (Å): 4.093 13.071 7.584
angles (deg): 90.00 90.00 90.00
Space group Amm2 (No. 38)
One atom of each set of equivalent atoms:
Nd (0.000, 0.209, 0.000)
Dy (0.000, 0.000, 0.623)
Mg (0.500, 0.000, 0.958)
Mg (0.500, 0.123, 0.334)
Pt (0.500, 0.162, 0.706)
Au (0.000, 0.000, 0.214)

No. 16
Here is a relaxed structure of Dy3Mg3Pd2Au from OQMD via LeMat-Bulk. Energies are from PBE-GGA.

## Properties
Total DFT energy (no corrections) in eV/atom: -4.25
Size of the total moment in μB/cell: 0.0

a b c (Å): 7.4691 7.4691 4.0852
angles (deg): 90.00 90.00 120.00
Space group P-62m (No. 189)
One atom of each set of equivalent atoms:
Dy (0.0000, 0.4151, 0.0000)
Mg (0.0000, 0.7510, 0.5000)
Pd (0.3333, 0.6667, 0.5000)
Au (0.0000, 0.0000, 0.0000)

No. 17
Here is a relaxed structure of Dy3Mg3PdPtAu from OQMD via LeMat-Bulk. Energies are from PBE-GGA.

## Properties
Total DFT energy (no corrections) in eV/atom: -4.45
Size of the total moment in μB/cell: 0.0

a b c (Å): 7.5143 7.5143 4.0388
angles (deg): 90.00 90.00 120.00
Space group P-6 (No. 174)
One atom of each set of equivalent atoms:
Dy (0.0130, 0.5943, 0.0000)
Mg (0.0010, 0.2443, 0.5000)
Pd (0.0000, 0.0000, 0.0000)
Pt (0.3333, 0.6667, 0.5000)
Au (0.6667, 0.3333, 0.5000)

No. 18
Here is a relaxed structure of PrDy2Mg3Pt2Au from OQMD via LeMat-Bulk. Energies are from PBE-GGA.

## Properties
Total DFT energy (no corrections) in eV/atom: -4.62
Size of the total moment in μB/cell: 0.0

a b c (Å): 4.069 13.065 7.487
angles (deg): 90.00 90.00 90.00
Space group Amm2 (No. 38)
One atom of each set of equivalent atoms:
Pr (0.000, 0.000, 0.000)
Dy (0.000, 0.208, 0.626)
Mg (0.500, 0.000, 0.665)
Mg (0.500, 0.126, 0.295)
Pt (0.500, 0.172, 0.915)
Au (0.000, 0.000, 0.424)

No. 19
Here is a relaxed structure of Pr2DyMg3Pt2Au from OQMD via LeMat-Bulk. Energies are from PBE-GGA.

## Properties
Total DFT energy (no corrections) in eV/atom: -4.62
Size of the total moment in μB/cell: 0.0

a b c (Å): 4.106 13.085 7.589
angles (deg): 90.00 90.00 90.00
Space group Amm2 (No. 38)
One atom of each set of equivalent atoms:
Pr (0.000, 0.209, 0.000)
Dy (0.000, 0.000, 0.624)
Mg (0.500, 0.000, 0.959)
Mg (0.500, 0.122, 0.335)
Pt (0.500, 0.160, 0.705)
Au (0.000, 0.000, 0.215)

No. 20
Here is a relaxed structure of Dy3Mg3Pt2Au from OQMD via LeMat-Bulk. Energies are from PBE-GGA.

## Properties
Total DFT energy (no corrections) in eV/atom: -4.63
Size of the total moment in μB/cell: 0.0

a b c (Å): 7.5029 7.5029 4.0151
angles (deg): 90.00 90.00 120.00
Space group P-62m (No. 189)
One atom of each set of equivalent atoms:
Dy (0.0000, 0.5853, 0.0000)
Mg (0.0000, 0.2525, 0.5000)
Pt (0.3333, 0.6667, 0.5000)
Au (0.0000, 0.0000, 0.0000)

No. 21
Here is a relaxed structure of Dy3Mg3PtAu2 from OQMD via LeMat-Bulk. Energies are from PBE-GGA.

## Properties
Total DFT energy (no corrections) in eV/atom: -4.22
Size of the total moment in μB/cell: 0.0

a b c (Å): 7.5492 7.5492 4.0604
angles (deg): 90.00 90.00 120.00
Space group P-62m (No. 189)
One atom of each set of equivalent atoms:
Dy (0.0000, 0.5971, 0.0000)
Mg (0.0000, 0.2417, 0.5000)
Pt (0.0000, 0.0000, 0.0000)
Au (0.3333, 0.6667, 0.5000)

No. 22
Here is a relaxed structure of Tb2DyMg3Pt2Au from OQMD via LeMat-Bulk. Energies are from PBE-GGA.

## Properties
Total DFT energy (no corrections) in eV/atom: -4.63
Size of the total moment in μB/cell: 0.0

a b c (Å): 4.057 12.912 7.457
angles (deg): 90.00 90.00 90.00
Space group Amm2 (No. 38)
One atom of each set of equivalent atoms:
Tb (0.000, 0.208, 0.000)
Dy (0.000, 0.000, 0.375)
Mg (0.500, 0.000, 0.043)
Mg (0.500, 0.125, 0.666)
Pt (0.500, 0.166, 0.292)
Au (0.000, 0.000, 0.792)

No. 23
Here is a relaxed structure of TbDy2Mg3Pt2Au from OQMD via LeMat-Bulk. Energies are from PBE-GGA.

## Properties
Total DFT energy (no corrections) in eV/atom: -4.63
Size of the total moment in μB/cell: 0.0

a b c (Å): 4.058 12.903 7.449
angles (deg): 90.00 90.00 90.00
Space group Amm2 (No. 38)
One atom of each set of equivalent atoms:
Tb (0.000, 0.000, 0.000)
Dy (0.000, 0.208, 0.375)
Mg (0.500, 0.000, 0.333)
Mg (0.500, 0.125, 0.709)
Pt (0.500, 0.167, 0.083)
Au (0.000, 0.000, 0.583)